1.
Here is an optimized crystal structure of Cr4MoCl from Alexandria. Energies are from PBE.

Summary:
DFT total energy (Ha/atom): -0.285
N(E_F) (states/eV/f.u.): 5.995

a b c (Å): 4.8480 4.8480 4.8480
angles (deg): 60.00 60.00 60.00
Closest atoms and distances in Å follow each position.
Atoms (fractional coordinates):
1 Cr 0.3749 0.8753 0.3749  6 Cr 2.42-2.43
2 Cr 0.3749 0.3749 0.8753  6 Cr 2.42-2.43
3 Cr 0.3749 0.3749 0.3749  6 Cr 2.42-2.43
4 Cr 0.8753 0.3749 0.3749  6 Cr 2.42-2.43
5 Mo 0.7500 0.7500 0.7500  12 Cr 2.84, 4 Cl 2.97
6 Cl 0.0000 0.0000 0.0000  12 Cr 2.84, 4 Mo 2.97


2.
Here is an optimized crystal structure of CrMoCl from Alexandria. Energies are from PBE.

Summary:
DFT total energy (Ha/atom): -0.260
N(E_F) (states/eV/f.u.): 2.557

a b c (Å): 6.6007 6.2821 3.0118
angles (deg): 82.46 70.65 26.89
Closest atoms and distances in Å follow each position.
Atoms (fractional coordinates):
1 Cr 0.6770 0.6770 0.3230  2 Mo 2.31
2 Cl 0.0076 0.0076 0.9924  2 Cr 2.59, 2 Mo 2.82
3 Mo 0.3154 0.3154 0.6846  2 Cr 2.31


3.
Here is an optimized crystal structure of Cr2MoCl from Alexandria. Energies are from PBE.

Summary:
DFT total energy (Ha/atom): -0.263
N(E_F) (states/eV/f.u.): 3.895

a b c (Å): 5.3196 5.3196 5.3196
angles (deg): 141.14 141.14 56.13
Closest atoms and distances in Å follow each position.
Atoms (fractional coordinates):
1 Cl 0.7500 0.2500 0.5000  4 Cr 2.50
2 Cr 0.0000 0.0000 0.0000  4 Mo 2.50
3 Cr 0.2500 0.7500 0.5000  4 Cl 2.50
4 Mo 0.5000 0.5000 0.0000  4 Cr 2.50


4.
Here is an optimized crystal structure of Cr2MoCl from Alexandria. Energies are from PBE.

Summary:
DFT total energy (Ha/atom): -0.286
N(E_F) (states/eV/f.u.): 2.124

a b c (Å): 3.0578 3.1357 6.9674
angles (deg): 89.99 90.00 90.00
Closest atoms and distances in Å follow each position.
Atoms (fractional coordinates):
1 Cr 0.0000 0.7499 0.4554  2 Cl 2.56, 4 Mo 2.62, 1 Cr 2.86
2 Cr 0.0000 0.7501 0.0446  2 Cl 2.56, 4 Mo 2.62, 1 Cr 2.86
3 Cl 0.5000 0.7500 0.7500  4 Cr 2.56
4 Mo 0.5000 0.2500 0.2500  8 Cr 2.62


5.
Here is an optimized crystal structure of Cr2MoCl from Alexandria. Energies are from PBE.

Summary:
DFT total energy (Ha/atom): -0.265
N(E_F) (states/eV/f.u.): 3.915

a b c (Å): 4.4829 4.4829 2.9767
angles (deg): 90.00 90.00 102.12
Closest atoms and distances in Å follow each position.
Atoms (fractional coordinates):
1 Cr 0.0000 0.0000 0.0000  4 Mo 2.69, 4 Cl 2.69, 4 Cr 2.82-2.98
2 Cr 0.5000 0.5000 0.0000  4 Cl 2.69, 4 Mo 2.69, 4 Cr 2.82-2.98
3 Mo 0.5000 0.0000 0.5000  8 Cr 2.69, 2 Cl 2.82, 2 Mo 2.98
4 Cl 0.0000 0.5000 0.5000  8 Cr 2.69, 2 Mo 2.82, 2 Cl 2.98


6.
Here is an optimized crystal structure of Cr2MoCl from Alexandria. Energies are from PBE.

Summary:
DFT total energy (Ha/atom): -0.261
N(E_F) (states/eV/f.u.): 2.615

a b c (Å): 6.7842 6.7842 5.5207
angles (deg): 52.09 52.09 90.00
Closest atoms and distances in Å follow each position.
Atoms (fractional coordinates):
1 Cl 0.5000 0.5000 0.0000  4 Cr 2.38
2 Cl 0.2500 0.7500 0.5000  4 Cr 2.38
3 Cr 0.3750 0.4004 0.7500  2 Cl 2.38, 2 Mo 2.61
4 Cr 0.5996 0.1250 0.2500  2 Cl 2.38, 2 Mo 2.61
5 Cr 0.1504 0.6250 0.2500  2 Cl 2.38, 2 Mo 2.61
6 Cr 0.8750 0.8496 0.7500  2 Cl 2.38, 2 Mo 2.61
7 Mo 0.7500 0.2500 0.5000  4 Cr 2.61, 2 Cl 2.73
8 Mo 0.0000 0.0000 0.0000  4 Cr 2.61, 2 Cl 2.73


7.
Here is an optimized crystal structure of CrMoCl3 from Alexandria. Energies are from PBE.

Summary:
DFT total energy (Ha/atom): -0.183
N(E_F) (states/eV/f.u.): 8.064

a b c (Å): 4.8519 4.8519 4.8519
angles (deg): 90.00 90.00 90.00
Closest atoms and distances in Å follow each position.
Atoms (fractional coordinates):
1 Cl 0.5000 0.0000 0.0000  2 Mo 2.43
2 Cl 0.0000 0.0000 0.5000  2 Mo 2.43
3 Cl 0.0000 0.5000 0.0000  2 Mo 2.43
4 Cr 0.5000 0.5000 0.5000  12 Cl 3.43
5 Mo 0.0000 0.0000 0.0000  6 Cl 2.43


8.
Here is an optimized crystal structure of CrMo2Cl from Alexandria. Energies are from PBE.

Summary:
DFT total energy (Ha/atom): -0.268
N(E_F) (states/eV/f.u.): 4.582

a b c (Å): 4.4757 4.4757 4.4757
angles (deg): 60.00 60.00 60.00
Closest atoms and distances in Å follow each position.
Atoms (fractional coordinates):
1 Mo 0.0000 0.0000 0.0000  4 Mo 2.74, 4 Cr 2.74
2 Mo 0.7500 0.7500 0.7500  4 Cl 2.74, 4 Mo 2.74
3 Cl 0.5000 0.5000 0.5000  4 Cr 2.74, 4 Mo 2.74
4 Cr 0.2500 0.2500 0.2500  4 Cl 2.74, 4 Mo 2.74


9.
Here is an optimized crystal structure of CrMo2Cl from Alexandria. Energies are from PBE.

Summary:
DFT total energy (Ha/atom): -0.266
N(E_F) (states/eV/f.u.): 6.894

a b c (Å): 6.6490 6.6490 5.4847
angles (deg): 52.69 52.69 90.00
Closest atoms and distances in Å follow each position.
Atoms (fractional coordinates):
1 Mo 0.1241 0.6250 0.2500  2 Cr 2.45, 2 Cl 2.46
2 Mo 0.6259 0.1250 0.2500  2 Cr 2.45, 2 Cl 2.46
3 Mo 0.3750 0.3741 0.7500  2 Cr 2.45, 2 Cl 2.46
4 Mo 0.8750 0.8759 0.7500  2 Cr 2.45, 2 Cl 2.46
5 Cr 0.0000 0.0000 0.0000  4 Mo 2.45
6 Cr 0.7500 0.2500 0.5000  4 Mo 2.45
7 Cl 0.5000 0.5000 0.0000  4 Mo 2.46
8 Cl 0.2500 0.7500 0.5000  4 Mo 2.46


10.
Here is an optimized crystal structure of CrMo2Cl from Alexandria. Energies are from PBE.

Summary:
DFT total energy (Ha/atom): -0.282
N(E_F) (states/eV/f.u.): 3.026

a b c (Å): 5.5915 5.5915 4.0587
angles (deg): 93.54 93.54 32.13
Closest atoms and distances in Å follow each position.
Atoms (fractional coordinates):
1 Mo 0.4586 0.4586 0.5354  2 Mo 2.45, 1 Cl 2.46
2 Mo 0.0414 0.0414 0.9646  2 Mo 2.45, 1 Cl 2.46
3 Cr 0.7500 0.7500 0.7500  4 Cl 2.55
4 Cl 0.2500 0.2500 0.2500  2 Mo 2.46, 4 Cr 2.55


11.
Here is an optimized crystal structure of Cr2MoCl from Alexandria. Energies are from PBE.

Summary:
DFT total energy (Ha/atom): -0.282
N(E_F) (states/eV/f.u.): 2.864

a b c (Å): 7.9604 7.9604 7.9604
angles (deg): 22.26 22.26 22.26
Closest atoms and distances in Å follow each position.
Atoms (fractional coordinates):
1 Cr 0.5034 0.5034 0.5034  3 Mo 2.57, 3 Cl 2.69
2 Cr 0.9966 0.9966 0.9966  3 Mo 2.57, 3 Cl 2.69
3 Cl 0.7500 0.7500 0.7500  6 Cr 2.69
4 Mo 0.2500 0.2500 0.2500  6 Cr 2.57


12.
Here is an optimized crystal structure of CrMo3Cl from Alexandria. Energies are from PBE.

Summary:
DFT total energy (Ha/atom): -0.274
N(E_F) (states/eV/f.u.): 5.874

a b c (Å): 4.3595 4.3595 4.3595
angles (deg): 90.00 90.00 90.00
Closest atoms and distances in Å follow each position.
Atoms (fractional coordinates):
1 Cr 0.5000 0.5000 0.5000  12 Mo 3.08
2 Cl 0.0000 0.0000 0.0000  6 Mo 2.18
3 Mo 0.0000 0.0000 0.5000  2 Cl 2.18
4 Mo 0.5000 0.0000 0.0000  2 Cl 2.18
5 Mo 0.0000 0.5000 0.0000  2 Cl 2.18


Summary of formation energy without anion corrections in eV per atom
0.780, 0.364, 0.836, 0.203, 0.765, 0.875, 0.216, 0.978, 1.051, 0.609, 0.301, 1.338
(order as listed above)